VASP calculation (GGA-PBE) on crystalline LaReAg2 at its relaxed geometry.

POSCAR file:
```
LaReAg2
1.0
5.895 0.021 0.002
-3.197 4.953 0.002
0.486 0.896 2.758
Ag La Re
2 1 1
Direct
0.500 0.500 0.000
0.000 0.000 0.000
0.500 0.000 0.500
0.000 0.500 0.500
```

Summary:
Total DFT energy (no corrections) (eV per atom): -5.24
Calculated formation energy (eV/atom): 0.532
Space group: C2/m (12)
Offset from the most stable computed form (meV/atom): 113